# InPbBr2 | the Alexandria database | PBE-GGA | optimized geometry
# - distance to the lowest polymorph of the same formula (meV/atom) = 343
# - crystal system = cubic
# - ΔE_f (raw) (eV per atom) = -0.20
# - M_tot (μB/atom) = 0.213
data_InPbBr2
_cell_length_a 7.8108
_cell_length_b 7.8108
_cell_length_c 7.8108
_cell_angle_alpha 90.00
_cell_angle_beta 90.00
_cell_angle_gamma 90.00
_symmetry_space_group_name_H-M 'F -4 3 m'
_symmetry_Int_Tables_number 216
_symmetry_space_group_name_Hall 'F -4 2 3'
loop_
_atom_site_label
_atom_site_type_symbol
_atom_site_fract_x
_atom_site_fract_y
_atom_site_fract_z
In1 In 0.0000 0.0000 0.0000
Pb1 Pb 0.2500 0.2500 0.2500
Br1 Br 0.0000 0.0000 0.5000
Br2 Br 0.2500 0.2500 0.7500